Entry from the Alexandria database: a geometry-optimized La2Dy13 structure (GGA-PBE).

a b c (Å): 9.818 9.818 9.818
angles (deg): 55.64 55.64 55.64
Element x y z (fractional)
La: 0.245 0.245 0.245
La: 0.755 0.755 0.755
Dy: 0.000 0.000 0.000
Dy: 0.011 0.011 0.652
Dy: 0.011 0.652 0.011
Dy: 0.237 0.237 0.611
Dy: 0.237 0.611 0.237
Dy: 0.348 0.989 0.989
Dy: 0.389 0.763 0.763
Dy: 0.611 0.237 0.237
Dy: 0.652 0.011 0.011
Dy: 0.763 0.389 0.763
Dy: 0.763 0.763 0.389
Dy: 0.989 0.348 0.989
Dy: 0.989 0.989 0.348

Computed properties:
**Energy of formation**: 596 meV/atom
**Space-group type**: No. 166
**Crystal system**: trigonal


Entry from the Alexandria database: a geometry-optimized MgFe4Rh structure (GGA-PBE).

a b c (Å): 4.802 4.802 4.802
angles (deg): 60.00 60.00 60.00
Element x y z (fractional)
Mg: 0.000 0.000 0.000
Fe: 0.125 0.625 0.625
Fe: 0.625 0.125 0.625
Fe: 0.625 0.625 0.125
Fe: 0.625 0.625 0.625
Rh: 0.250 0.250 0.250

Computed properties:
**Energy of formation**: -4 meV/atom
**Space-group type**: No. 216
**Crystal system**: cubic


Entry from the Alexandria database: a geometry-optimized YAuCl2 structure (GGA-PBE).

a b c (Å): 4.344 4.448 4.474
angles (deg): 90.00 90.00 90.00
Element x y z (fractional)
Y: 0.000 0.000 0.000
Au: 0.000 0.500 0.500
Cl: 0.500 0.000 0.500
Cl: 0.500 0.500 0.000

Computed properties:
**Space-group type**: No. 47
**Offset from the most stable computed form**: 516 meV/atom
**Crystal system**: orthorhombic


Entry from the Alexandria database: a geometry-optimized PrZrRh4 structure (GGA-PBE).

a b c (Å): 5.332 5.332 5.332
angles (deg): 60.00 60.00 60.00
Element x y z (fractional)
Pr: 0.000 0.000 0.000
Zr: 0.250 0.250 0.250
Rh: 0.126 0.625 0.625
Rh: 0.625 0.126 0.625
Rh: 0.625 0.625 0.126
Rh: 0.625 0.625 0.625

Computed properties:
**Energy of formation**: -555 meV/atom
**Space-group type**: No. 216
**Crystal system**: cubic


Entry from the Alexandria database: a geometry-optimized Sm2YEr2Tm2 structure (GGA-PBE).

a b c (Å): 6.077 6.077 11.706
angles (deg): 108.17 108.17 33.44
Element x y z (fractional)
Sm: 0.173 0.173 0.085
Sm: 0.827 0.827 0.915
Y: 0.500 0.500 0.500
Er: 0.275 0.275 0.638
Er: 0.725 0.725 0.362
Tm: 0.051 0.051 0.772
Tm: 0.949 0.949 0.228

Computed properties:
**Energy of formation**: 91 meV/atom
**Space-group type**: No. 12
**Crystal system**: monoclinic


Entry from the Alexandria database: a geometry-optimized LiTaN3 structure (GGA-PBE).

a b c (Å): 3.460 3.460 3.460
angles (deg): 90.00 90.00 90.00
Element x y z (fractional)
Li: 0.000 0.000 0.000
Ta: 0.500 0.500 0.500
N: 0.000 0.000 0.500
N: 0.000 0.500 0.000
N: 0.500 0.000 0.000

Computed properties:
**Space-group type**: No. 221
**DFT total energy**: -33.3 eV/f.u.
**Crystal system**: cubic


Entry from the Alexandria database: a geometry-optimized Ce5DySe6 structure (GGA-PBE).

a b c (Å): 7.242 7.242 7.234
angles (deg): 99.63 99.63 120.04
Element x y z (fractional)
Ce: 0.000 0.000 0.000
Ce: 0.166 0.834 0.500
Ce: 0.331 0.669 0.000
Ce: 0.669 0.331 0.000
Ce: 0.834 0.166 0.500
Dy: 0.500 0.500 0.500
Se: 0.091 0.419 0.255
Se: 0.256 0.256 0.748
Se: 0.419 0.091 0.255
Se: 0.581 0.909 0.745
Se: 0.744 0.744 0.252
Se: 0.909 0.581 0.745

Computed properties:
**Space-group type**: No. 12
**DFT total energy**: -76.9 eV/f.u.
**Crystal system**: monoclinic


Entry from the Alexandria database: a geometry-optimized NaLi2Sn structure (GGA-PBE).

a b c (Å): 6.537 6.537 6.537
angles (deg): 150.86 131.17 57.88
Element x y z (fractional)
Na: 0.000 0.000 0.000
Li: 0.260 0.260 0.000
Li: 0.740 0.740 0.000
Sn: 0.500 0.500 0.000

Computed properties:
**Energy of formation**: 20 meV/atom
**Space-group type**: No. 71
**Crystal system**: orthorhombic


Entry from the Alexandria database: a geometry-optimized YZrAu2 structure (GGA-PBE).

a b c (Å): 3.670 3.670 6.568
angles (deg): 90.00 90.00 90.00
Element x y z (fractional)
Y: 0.000 0.000 0.000
Zr: 0.500 0.500 0.318
Au: 0.000 0.000 0.517
Au: 0.500 0.500 0.773

Computed properties:
**Energy of formation**: -531 meV/atom
**Space-group type**: No. 99
**Offset from the most stable computed form**: 116 meV/atom
**Crystal system**: tetragonal


Entry from the Alexandria database: a geometry-optimized NiPtCl2 structure (GGA-PBE).

a b c (Å): 3.245 3.245 7.875
angles (deg): 90.00 90.00 124.85
Element x y z (fractional)
Ni: 0.000 0.000 0.000
Pt: 0.000 0.000 0.500
Cl: 0.500 0.500 0.210
Cl: 0.500 0.500 0.790

Computed properties:
**Space-group type**: No. 65
**Offset from the most stable computed form**: 497 meV/atom
**Crystal system**: orthorhombic


Entry from the Alexandria database: a geometry-optimized MnPN2 structure (GGA-PBE).

a b c (Å): 5.852 5.852 5.852
angles (deg): 28.21 28.21 28.21
Element x y z (fractional)
Mn: 0.000 0.000 0.000
P: 0.500 0.500 0.500
N: 0.398 0.398 0.398
N: 0.602 0.602 0.602

Computed properties:
**Space-group type**: No. 166
**DFT total energy**: -30.8 eV/f.u.
**Crystal system**: trigonal


Entry from the Alexandria database: a geometry-optimized BeInBP2 structure (GGA-PBE).

a b c (Å): 5.224 5.224 4.391
angles (deg): 90.00 90.00 90.00
Element x y z (fractional)
Be: 0.000 0.000 0.000
In: 0.000 0.000 0.500
B: 0.500 0.500 0.000
P: 0.000 0.500 0.500
P: 0.500 0.000 0.500

Computed properties:
**Energy of formation**: 2092 meV/atom
**Space-group type**: No. 123
**Crystal system**: tetragonal